(1)
VASP calculation (PBE) on a relaxed structure of Li2Ge2Sb.

Output
* offset from the most stable computed form: 0 meV per atom

abc: 8.0756 8.0756 2.9542
angles: 90.00 90.00 90.00
Closest atoms and distances in Å follow each position.
Fractional positions:
Li 0.3103 0.1897 0.5000  6 Ge 2.72-2.91, 2 Li 2.95
Li 0.6897 0.8103 0.5000  6 Ge 2.72-2.91, 2 Li 2.95
Li 0.8103 0.3103 0.5000  6 Ge 2.72-2.91, 2 Li 2.95
Li 0.1897 0.6897 0.5000  6 Ge 2.72-2.91, 2 Li 2.95
Sb 0.5000 0.5000 0.0000  2 Sb 2.95, 4 Ge 3.27, 8 Li 3.29
Sb 0.0000 0.0000 0.0000  2 Sb 2.95, 4 Ge 3.27, 8 Li 3.29
Ge 0.6108 0.1108 0.0000  1 Ge 2.53, 2 Li 2.72
Ge 0.3892 0.8892 0.0000  1 Ge 2.53, 2 Li 2.72
Ge 0.8892 0.6108 0.0000  1 Ge 2.53, 2 Li 2.72
Ge 0.1108 0.3892 0.0000  1 Ge 2.53, 2 Li 2.72


(2)
VASP calculation (PBE) on a relaxed structure of KHg6Pb2.

Output
* calculated formation energy: -0.053 eV/atom

abc: 3.2284 9.5181 9.5181
angles: 120.00 90.00 90.00
Closest atoms and distances in Å follow each position.
Fractional positions:
Hg 0.5000 0.0000 0.6636  5 Hg 3.11-3.23
Hg 0.5000 0.6636 0.6636  5 Hg 3.11-3.23
Hg 0.5000 0.3364 0.3364  5 Hg 3.11-3.23
Hg 0.5000 0.3364 0.0000  5 Hg 3.11-3.23
Hg 0.5000 0.0000 0.3364  5 Hg 3.11-3.23
Hg 0.5000 0.6636 0.0000  5 Hg 3.11-3.23
Pb 0.0000 0.6667 0.3333  2 Pb 3.23, 12 Hg 3.55
Pb 0.0000 0.3333 0.6667  2 Pb 3.23, 12 Hg 3.55
K 0.0000 0.0000 0.0000  2 K 3.23, 12 Hg 3.59


(3)
VASP calculation (PBE) on a relaxed structure of TbDy6Sc2.

Output
* offset from the most stable computed form: 52 meV per atom
* calculated formation energy: 0.133 eV/atom

abc: 6.5161 9.2905 9.2905
angles: 87.96 79.69 79.69
Closest atoms and distances in Å follow each position.
Fractional positions:
Dy 0.7352 0.0502 0.4620  2 Sc 3.25-3.32, 4 Dy 3.26-3.60, 1 Tb 3.50
Dy 0.9993 0.3302 0.6168  3 Sc 3.15-3.43, 2 Dy 3.15-3.51, 1 Tb 3.29
Dy 0.8181 0.9663 0.7929  3 Dy 3.12-3.39, 2 Sc 3.26-3.28, 1 Tb 3.32
Dy 0.0007 0.6698 0.3832  3 Sc 3.15-3.43, 2 Dy 3.15-3.51, 1 Tb 3.29
Dy 0.2648 0.9498 0.5380  2 Sc 3.25-3.32, 4 Dy 3.26-3.60, 1 Tb 3.50
Dy 0.7648 0.5380 0.9498  2 Sc 3.25-3.32, 4 Dy 3.26-3.60, 1 Tb 3.50
Dy 0.1819 0.0337 0.2071  3 Dy 3.12-3.39, 2 Sc 3.26-3.28, 1 Tb 3.32
Dy 0.4993 0.6168 0.3302  3 Sc 3.15-3.43, 2 Dy 3.15-3.51, 1 Tb 3.29
Dy 0.5007 0.3832 0.6698  3 Sc 3.15-3.43, 2 Dy 3.15-3.51, 1 Tb 3.29
Dy 0.3181 0.7929 0.9663  3 Dy 3.12-3.39, 2 Sc 3.26-3.28, 1 Tb 3.32
Dy 0.2352 0.4620 0.0502  2 Sc 3.25-3.32, 4 Dy 3.26-3.60, 1 Tb 3.50
Dy 0.6819 0.2071 0.0337  3 Dy 3.12-3.39, 2 Sc 3.26-3.28, 1 Tb 3.32
Sc 0.8723 0.3469 0.2898  7 Dy 3.15-3.43, 2 Sc 3.34
Sc 0.3723 0.2898 0.3469  7 Dy 3.15-3.43, 2 Sc 3.34
Sc 0.1277 0.6531 0.7102  7 Dy 3.15-3.43, 2 Sc 3.34
Sc 0.6277 0.7102 0.6531  7 Dy 3.15-3.43, 2 Sc 3.34
Tb 0.2500 0.1407 0.8593  8 Dy 3.29-3.64
Tb 0.7500 0.8593 0.1407  8 Dy 3.29-3.64


(4)
VASP calculation (PBE) on a relaxed structure of Mg2AsWCl.

Output
* electronic total energy: -3.687 eV/atom

abc: 4.7963 4.7963 4.4406
angles: 90.00 90.00 90.00
Closest atoms and distances in Å follow each position.
Fractional positions:
Mg 0.5000 0.0000 0.0000  2 Cl 2.40
Mg 0.0000 0.5000 0.0000  2 Cl 2.40
Cl 0.0000 0.0000 0.0000  2 W 2.22, 4 Mg 2.40
W 0.0000 0.0000 0.5000  2 Cl 2.22
As 0.5000 0.5000 0.5000  8 Mg 3.27, 4 W 3.39


(5)
VASP calculation (PBE) on a relaxed structure of Ac2Ga4Ni5.

Output
* calculated formation energy: -0.461 eV/atom

abc: 5.5987 5.6341 7.7616
angles: 79.68 68.86 60.21
Closest atoms and distances in Å follow each position.
Fractional positions:
Ni 0.5000 0.0000 0.0000  4 Ga 2.42
Ni 0.0000 0.5000 0.0000  4 Ga 2.46
Ni 0.7500 0.5000 0.5000  4 Ga 2.43
Ni 0.5000 0.5000 0.0000  4 Ga 2.46
Ni 0.2500 0.5000 0.5000  4 Ga 2.43
Ga 0.4647 0.3237 0.7470  5 Ni 2.42-2.46
Ga 0.2117 0.3237 0.2530  5 Ni 2.42-2.46
Ga 0.7883 0.6763 0.7470  5 Ni 2.42-2.46
Ga 0.5353 0.6763 0.2530  5 Ni 2.42-2.46
Ac 0.8626 0.0000 0.2748  6 Ga 3.22-3.31, 10 Ni 3.25-3.45
Ac 0.1374 0.0000 0.7252  6 Ga 3.22-3.31, 10 Ni 3.25-3.45


(6)
VASP calculation (PBE) on a relaxed structure of CrP3S.

Output
* offset from the most stable computed form: 814 meV per atom

abc: 4.3652 4.3652 4.3652
angles: 90.00 90.00 90.00
Closest atoms and distances in Å follow each position.
Fractional positions:
P 0.0000 0.5000 0.0000  2 S 2.18
P 0.5000 0.0000 0.0000  2 S 2.18
P 0.0000 0.0000 0.5000  2 S 2.18
Cr 0.5000 0.5000 0.5000  12 P 3.09
S 0.0000 0.0000 0.0000  6 P 2.18


(7)
VASP calculation (PBE) on a relaxed structure of CsLaTeH2.

Output
* offset from the most stable computed form: 72 meV per atom

abc: 4.4161 4.1283 15.8155
angles: 90.00 106.19 90.00
Closest atoms and distances in Å follow each position.
Fractional positions:
La 0.9468 0.0000 0.9319  3 H 2.25-2.29
La 0.9468 0.5000 0.4319  3 H 2.25-2.29
Te 0.5331 0.0000 0.5180  2 H 3.18-3.19, 4 La 3.29
Te 0.5331 0.5000 0.0180  2 H 3.18-3.19, 4 La 3.29
H 0.7923 0.0000 0.7838  1 La 2.25, 2 H 2.42
H 0.7923 0.5000 0.2838  1 La 2.25, 2 H 2.42
H 0.8834 0.0000 0.3671  2 La 2.29, 2 H 2.42
H 0.8834 0.5000 0.8671  2 La 2.29, 2 H 2.42
Cs 0.2295 0.5000 0.7172  6 H 3.16-3.20
Cs 0.2295 0.0000 0.2172  6 H 3.16-3.20


(8)
VASP calculation (PBE) on a relaxed structure of LaNd7Y2.

Output
* offset from the most stable computed form: 0 meV per atom
* calculated formation energy: 0.017 eV/atom

abc: 6.3631 9.7125 9.7111
angles: 141.85 109.21 77.35
Closest atoms and distances in Å follow each position.
Fractional positions:
Nd 0.6981 0.5012 0.4000  9 Nd 3.66-3.70, 2 La 3.66-3.68, 1 Y 3.68
Nd 0.0979 0.5025 0.2007  3 Y 3.64-3.67, 8 Nd 3.64-3.69, 1 La 3.69
Nd 0.9021 0.4975 0.7993  3 Y 3.64-3.67, 8 Nd 3.64-3.69, 1 La 3.69
Nd 0.3983 0.0019 0.7991  3 Y 3.63-3.67, 7 Nd 3.65-3.71, 2 La 3.68
Nd 0.3019 0.4988 0.6000  9 Nd 3.66-3.70, 2 La 3.66-3.68, 1 Y 3.68
Nd 0.6017 0.9981 0.2009  3 Y 3.63-3.67, 7 Nd 3.65-3.71, 2 La 3.68
Nd 0.5000 0.5000 0.0000  8 Nd 3.65-3.68, 4 Y 3.66
Y 0.7984 0.0010 0.5986  9 Nd 3.63-3.68, 2 Y 3.64-3.66, 1 La 3.69
Y 0.2016 0.9990 0.4014  9 Nd 3.63-3.68, 2 Y 3.64-3.66, 1 La 3.69
La 0.0000 0.0000 0.0000  10 Nd 3.66-3.69, 2 Y 3.69


(9)
VASP calculation (PBE) on a relaxed structure of CdCoAsCl2.

Output
* electronic total energy: -2.471 eV/atom

abc: 4.8575 5.9296 4.8575
angles: 90.00 90.00 90.00
Closest atoms and distances in Å follow each position.
Fractional positions:
Co 0.0000 0.5000 0.0000  2 Cd 2.96
As 0.5000 0.5000 0.5000  4 Co 3.43, 8 Cl 3.83
Cd 0.0000 0.0000 0.0000  4 Cl 2.43
Cl 0.5000 0.0000 0.0000  2 Cd 2.43
Cl 0.0000 0.0000 0.5000  2 Cd 2.43


(10)
VASP calculation (PBE) on a relaxed structure of TbGe2Pd3.

Output
* calculated formation energy: -0.786 eV/atom

abc: 4.0513 8.6302 10.0058
angles: 107.82 90.00 103.57
Closest atoms and distances in Å follow each position.
Fractional positions:
Pd 0.3810 0.7619 0.8047  4 Ge 2.52-2.74
Pd 0.2182 0.4364 0.3915  4 Ge 2.43-2.63
Pd 0.3190 0.6380 0.0369  4 Ge 2.48-2.59
Pd 0.6810 0.3620 0.9631  4 Ge 2.48-2.59
Pd 0.6190 0.2381 0.1953  4 Ge 2.52-2.74
Pd 0.7818 0.5636 0.6085  4 Ge 2.43-2.63
Pd 0.5000 0.0000 0.5000  4 Ge 2.48-2.70
Pd 0.9596 0.9191 0.6692  4 Ge 2.50-2.65
Pd 0.0404 0.0809 0.3308  4 Ge 2.50-2.65
Ge 0.3630 0.7260 0.5453  7 Pd 2.43-2.65
Ge 0.1976 0.3951 0.1310  6 Pd 2.50-2.61
Ge 0.4602 0.9203 0.2167  5 Pd 2.48-2.74
Ge 0.8024 0.6049 0.8690  6 Pd 2.50-2.61
Ge 0.5398 0.0797 0.7833  5 Pd 2.48-2.74
Ge 0.6370 0.2740 0.4547  7 Pd 2.43-2.65
Tb 0.8458 0.6916 0.3036  6 Ge 3.10-3.25, 7 Pd 3.19-3.38
Tb 0.1542 0.3084 0.6964  6 Ge 3.10-3.25, 7 Pd 3.19-3.38
Tb 0.0000 0.0000 0.0000  6 Pd 3.07-3.16, 6 Ge 3.16-3.19


(11)
VASP calculation (PBE) on a relaxed structure of BaReB2Rh.

Output
* calculated formation energy: 1.168 eV/atom

abc: 4.2297 5.2615 4.2297
angles: 90.00 90.00 90.00
Closest atoms and distances in Å follow each position.
Fractional positions:
Re 0.0000 0.5000 0.0000  2 Rh 2.63
Ba 0.5000 0.5000 0.5000  4 Re 2.99
Rh 0.0000 0.0000 0.0000  4 B 2.11
B 0.0000 0.0000 0.5000  2 Rh 2.11
B 0.5000 0.0000 0.0000  2 Rh 2.11


(12)
VASP calculation (PBE) on a relaxed structure of LaSm5HoTm2.

Output
* calculated formation energy: 0.158 eV/atom

abc: 5.6722 10.4574 10.5958
angles: 90.00 90.00 105.74
Closest atoms and distances in Å follow each position.
Fractional positions:
Sm 0.9830 0.9660 0.5232  2 La 3.23, 2 Tm 3.43-3.44
Sm 0.2968 0.5936 0.7077  4 Sm 3.43-3.79, 3 Ho 3.51-3.78, 3 Tm 3.55-3.71, 1 La 3.64
Sm 0.7195 0.4390 0.8145  1 La 3.09, 1 Tm 3.33, 2 Sm 3.43
Sm 0.4794 0.9589 0.7395  2 La 3.07-3.32
Sm 0.3854 0.7707 0.0239  6 Sm 3.55-3.88, 4 Tm 3.57-3.61, 1 Ho 3.75
Sm 0.7032 0.4064 0.2077  4 Sm 3.43-3.79, 3 Ho 3.51-3.78, 3 Tm 3.55-3.71, 1 La 3.64
Sm 0.0170 0.0340 0.0232  2 La 3.23, 2 Tm 3.43-3.44
Sm 0.2805 0.5610 0.3145  1 La 3.09, 1 Tm 3.33, 2 Sm 3.43
Sm 0.6146 0.2293 0.5239  6 Sm 3.55-3.88, 4 Tm 3.57-3.61, 1 Ho 3.75
Sm 0.5206 0.0411 0.2395  2 La 3.07-3.32
Ho 0.8010 0.6019 0.5121  2 Tm 3.42-3.66, 8 Sm 3.51-3.78, 2 La 3.72
Ho 0.1990 0.3981 0.0121  2 Tm 3.42-3.66, 8 Sm 3.51-3.78, 2 La 3.72
La 0.5838 0.1675 0.9502  5 Sm 3.07-3.32
La 0.4162 0.8325 0.4502  5 Sm 3.07-3.32
Tm 0.1150 0.2300 0.3187  9 Sm 3.33-3.70, 1 Ho 3.66
Tm 0.8850 0.7700 0.8187  9 Sm 3.33-3.70, 1 Ho 3.66
Tm 0.1130 0.2260 0.7340  1 Ho 3.42, 7 Sm 3.44-3.71, 2 La 3.69
Tm 0.8870 0.7740 0.2340  1 Ho 3.42, 7 Sm 3.44-3.71, 2 La 3.69